[1]
Computed, not measured: a relaxed structure of MgReMo at the PBE level of DFT.

The structure in POSCAR format:
```
MgReMo
1.0
-3.4147 -3.2664 -0.7986
1.4749 -3.8520 -2.4402
0.3475 2.6582 3.9725
Mo Mg Re
1 1 1
Direct
0.3352 0.3352 0.0000 Mo
0.0011 0.0011 0.0000 Mg
0.6637 0.6637 0.0000 Re
```

Results
- energy above the most stable polymorph in this dataset (meV/atom) = 163.9
- SG = Imm2, No. 44

[2]
Computed, not measured: a relaxed structure of KPClF6 at the PBE level of DFT.

The structure in POSCAR format:
```
KPClF6
1.0
6.5762 0.5317 -0.1266
3.7867 5.0103 -0.7647
-0.0392 -0.5918 5.0355
F P K Cl
6 1 1 1
Direct
0.0598 0.4494 0.3027 F
0.1262 0.5669 0.7400 F
0.5320 0.0851 0.1712 F
0.5993 0.2086 0.6126 F
0.3326 0.5622 0.3756 F
0.3307 0.0915 0.5390 F
0.3358 0.3259 0.4564 P
0.6645 0.6221 0.7527 K
0.0189 0.0883 0.0497 Cl
```

Results
- SG = P1, No. 1

[3]
Computed, not measured: a relaxed structure of PmTiHg2 at the PBE level of DFT.

The structure in POSCAR format:
```
PmTiHg2
1.0
4.2946 0.0000 0.0000
0.0000 4.6816 0.0000
0.0000 0.0000 4.6816
Hg Ti Pm
2 1 1
Direct
0.0000 0.5000 0.0000 Hg
0.0000 0.0000 0.5000 Hg
0.5000 0.5000 0.5000 Ti
0.5000 0.0000 0.0000 Pm
```

Results
- energy above the most stable polymorph in this dataset (meV/atom) = 54.5
- SG = P4/mmm, No. 123

[4]
Computed, not measured: a relaxed structure of Os2RuCl at the PBE level of DFT.

The structure in POSCAR format:
```
Os2RuCl
1.0
-2.1871 -1.6539 -0.6501
2.4060 -1.0542 1.0205
-3.1941 0.8989 8.4589
Os Ru Cl
2 1 1
Direct
0.0000 0.0000 0.0117 Os
0.5000 0.5000 0.2525 Os
0.0000 0.0000 0.5038 Ru
0.5000 0.5000 0.7320 Cl
```

Results
- energy above the most stable polymorph in this dataset (meV/atom) = 334.0
- SG = Cmm2, No. 35

[5]
Computed, not measured: a relaxed structure of Tm3Ni9GeB2 at the PBE level of DFT.

The structure in POSCAR format:
```
Tm3Ni9GeB2
1.0
5.3663 0.0000 0.0000
-2.6831 4.6473 0.0000
0.0000 0.0000 8.2891
Ni Ge B Tm
9 1 2 3
Direct
0.1657 0.3314 0.2802 Ni
0.6686 0.8343 0.2802 Ni
0.3314 0.1657 0.7198 Ni
0.1657 0.8343 0.2802 Ni
0.5000 0.5000 0.0000 Ni
0.5000 0.0000 0.0000 Ni
0.8343 0.1657 0.7198 Ni
0.8343 0.6686 0.7198 Ni
0.0000 0.5000 0.0000 Ni
0.0000 0.0000 0.5000 Ge
0.6667 0.3333 0.8554 B
0.3333 0.6667 0.1446 B
0.3333 0.6667 0.6265 Tm
0.6667 0.3333 0.3735 Tm
0.0000 0.0000 0.0000 Tm
```

Results
- SG = P-3m1, No. 164

[6]
Computed, not measured: a relaxed structure of Ac2AlZn4Si3 at the PBE level of DFT.

The structure in POSCAR format:
```
Ac2AlZn4Si3
1.0
-1.3714 -0.6755 4.1409
4.1277 -0.9980 1.2043
1.7705 9.9987 2.2175
Zn Si Ac Al
4 3 2 1
Direct
0.5000 0.5000 0.0000 Zn
0.0000 0.5000 0.3701 Zn
0.5000 0.0000 0.6299 Zn
0.0000 0.0000 0.0000 Zn
0.5000 0.0000 0.8699 Si
0.0000 0.5000 0.1301 Si
0.0000 0.0000 0.5000 Si
0.5000 0.0000 0.2491 Ac
0.0000 0.5000 0.7509 Ac
0.5000 0.5000 0.5000 Al
```

Results
- SG = P-4m2, No. 115

[7]
Computed, not measured: a relaxed structure of BeZn4Au5 at the PBE level of DFT.

The structure in POSCAR format:
```
BeZn4Au5
1.0
-3.0265 0.4579 -0.2119
-0.0570 -1.5903 -2.6234
-2.7130 -13.9832 8.5352
Be Zn Au
1 4 5
Direct
0.0000 0.0000 0.0000 Be
0.0000 0.0000 0.8110 Zn
0.0000 0.0000 0.1890 Zn
0.0000 0.0000 0.6037 Zn
0.0000 0.0000 0.3963 Zn
0.5000 0.5000 0.7069 Au
0.5000 0.5000 0.2931 Au
0.5000 0.5000 0.9148 Au
0.5000 0.5000 0.0852 Au
0.5000 0.5000 0.5000 Au
```

Results
- SG = P4/mmm, No. 123

[8]
Computed, not measured: a relaxed structure of PuAlPb2O6 at the PBE level of DFT.

The structure in POSCAR format:
```
PuAlPb2O6
1.0
-2.6882 -2.2719 4.5538
-3.1507 -3.3012 -3.5069
5.6508 -5.8411 0.4216
Al O Pu Pb
2 12 2 4
Direct
0.0000 0.7500 0.0000 Al
0.5000 0.2500 0.5000 Al
0.2624 0.0123 0.5000 O
0.7376 0.0123 0.5000 O
0.7624 0.9877 0.0000 O
0.2376 0.9877 0.0000 O
0.7376 0.4875 0.5000 O
0.5000 0.2498 0.7376 O
0.0000 0.7502 0.7624 O
0.5000 0.2498 0.2624 O
0.2624 0.4875 0.5000 O
0.0000 0.7502 0.2376 O
0.2376 0.5125 0.0000 O
0.7624 0.5125 0.0000 O
0.5000 0.2501 0.0000 Pu
0.0000 0.7499 0.5000 Pu
0.0000 0.2497 0.2500 Pb
0.0000 0.2497 0.7500 Pb
0.5000 0.7503 0.2500 Pb
0.5000 0.7503 0.7500 Pb
```

Results
- SG = Fm-3m, No. 225

[9]
Computed, not measured: a relaxed structure of Si2HBr at the PBE level of DFT.

The structure in POSCAR format:
```
Si2HBr
1.0
-0.5259 -4.0420 2.1013
0.2087 -0.2506 4.5742
-3.7987 -0.8462 2.4257
H Br Si
1 1 2
Direct
0.0000 0.0000 0.0000 H
0.5000 0.5000 0.5000 Br
0.2500 0.2500 0.2500 Si
0.7500 0.7500 0.7500 Si
```

Results
- energy above the most stable polymorph in this dataset (meV/atom) = 494.9
- SG = Fm-3m, No. 225

[10]
Computed, not measured: a relaxed structure of CaCr2W at the PBE level of DFT.

The structure in POSCAR format:
```
CaCr2W
1.0
9.1207 0.0054 0.0032
8.6058 3.0214 0.0032
8.6058 1.4694 2.6400
Cr W Ca
2 1 1
Direct
0.5149 0.5149 0.5149 Cr
0.9851 0.9851 0.9851 Cr
0.2500 0.2500 0.2500 W
0.7500 0.7500 0.7500 Ca
```

Results
- energy above the most stable polymorph in this dataset (meV/atom) = 320.5
- SG = R-3m, No. 166

[11]
Computed, not measured: a relaxed structure of Ta2OsW at the PBE level of DFT.

The structure in POSCAR format:
```
Ta2OsW
1.0
5.3618 -0.0023 -0.0039
4.4052 3.0567 -0.0039
1.9007 0.5944 4.0493
Os Ta W
1 2 1
Direct
0.2492 0.2492 0.2508 Os
0.7528 0.7528 0.7472 Ta
0.9983 0.9983 0.0017 Ta
0.4997 0.4997 0.5003 W
```

Results
- energy above the most stable polymorph in this dataset (meV/atom) = 113.8
- SG = Imm2, No. 44

[12]
Computed, not measured: a relaxed structure of Zn2SiAg at the PBE level of DFT.

The structure in POSCAR format:
```
Zn2SiAg
1.0
5.7834 0.2429 0.0742
2.9928 4.9547 -0.0742
-3.7184 -3.7296 2.4032
Zn Ag Si
2 1 1
Direct
0.0110 0.0110 0.0000 Zn
0.7441 0.2441 0.5000 Zn
0.4912 0.4912 0.0000 Ag
0.2537 0.7537 0.5000 Si
```

Results
- SG = Imm2, No. 44

[13]
Computed, not measured: a relaxed structure of Rb3PSe4 at the PBE level of DFT.

The structure in POSCAR format:
```
Rb3PSe4
1.0
9.8179 0.0000 0.0000
0.0000 10.1219 0.0000
0.0000 0.0000 11.4854
Se P Rb
16 4 12
Direct
0.6971 0.7595 0.2500 Se
0.1573 0.9666 0.5887 Se
0.5262 0.0811 0.2500 Se
0.8029 0.2595 0.7500 Se
0.6573 0.5334 0.5887 Se
0.3029 0.2405 0.7500 Se
0.3427 0.4666 0.0887 Se
0.3427 0.4666 0.4113 Se
0.6573 0.5334 0.9113 Se
0.9738 0.5811 0.7500 Se
0.0262 0.4189 0.2500 Se
0.8427 0.0334 0.4113 Se
0.1573 0.9666 0.9113 Se
0.4738 0.9189 0.7500 Se
0.1971 0.7405 0.2500 Se
0.8427 0.0334 0.0887 Se
0.2712 0.0222 0.7500 P
0.7288 0.9778 0.2500 P
0.2288 0.5222 0.2500 P
0.7712 0.4778 0.7500 P
0.1468 0.0813 0.2500 Rb
0.3532 0.5813 0.7500 Rb
0.5524 0.1973 0.5438 Rb
0.4476 0.8027 0.4562 Rb
0.8532 0.9187 0.7500 Rb
0.6468 0.4187 0.2500 Rb
0.9476 0.6973 0.0438 Rb
0.5524 0.1973 0.9562 Rb
0.0524 0.3027 0.9562 Rb
0.4476 0.8027 0.0438 Rb
0.9476 0.6973 0.4562 Rb
0.0524 0.3027 0.5438 Rb
```

Results
- energy above the most stable polymorph in this dataset (meV/atom) = 0.0
- SG = Pnma, No. 62

[14]
Computed, not measured: a relaxed structure of Pm3V5S12 at the PBE level of DFT.

The structure in POSCAR format:
```
Pm3V5S12
1.0
13.0504 0.0000 0.0000
-4.3501 12.3040 0.0000
-4.3501 -6.1520 10.6556
S V Pm
48 20 12
Direct
0.5886 0.7064 0.6797 S
0.5886 0.8822 0.4089 S
0.0886 0.9089 0.3822 S
0.7064 0.1178 0.0267 S
0.4733 0.6797 0.0911 S
0.1797 0.0911 0.9733 S
0.4114 0.1178 0.5911 S
0.0886 0.1797 0.2064 S
0.9089 0.8203 0.5267 S
0.9089 0.0886 0.8822 S
0.5267 0.3203 0.9089 S
0.1178 0.7064 0.5267 S
0.9114 0.0911 0.6178 S
0.2936 0.4114 0.8203 S
0.7064 0.5886 0.1797 S
0.0911 0.9114 0.1178 S
0.1797 0.0886 0.7064 S
0.8203 0.9089 0.0267 S
0.6797 0.4733 0.5911 S
0.8822 0.5886 0.9089 S
0.9733 0.3822 0.2936 S
0.3203 0.5267 0.4089 S
0.3822 0.4089 0.0886 S
0.7936 0.3203 0.9114 S
0.1178 0.4114 0.0911 S
0.5267 0.2064 0.1178 S
0.7936 0.4733 0.3822 S
0.9733 0.5911 0.1797 S
0.0267 0.4089 0.8203 S
0.5911 0.9733 0.6797 S
0.4089 0.0267 0.3203 S
0.8822 0.2936 0.4733 S
0.4733 0.7936 0.8822 S
0.9114 0.8203 0.7936 S
0.0267 0.6178 0.7064 S
0.5911 0.6178 0.4114 S
0.2064 0.5267 0.6178 S
0.4089 0.3822 0.5886 S
0.6178 0.5911 0.9114 S
0.0911 0.1797 0.4733 S
0.2064 0.6797 0.0886 S
0.3203 0.7936 0.4114 S
0.2936 0.8822 0.9733 S
0.8203 0.9114 0.2936 S
0.6178 0.0267 0.2064 S
0.4114 0.2936 0.3203 S
0.3822 0.9733 0.7936 S
0.6797 0.2064 0.5886 S
0.2500 0.8750 0.1250 V
0.8750 0.2500 0.6250 V
0.5000 0.5000 0.0000 V
0.5000 0.0000 0.0000 V
0.3750 0.1250 0.7500 V
0.5000 0.0000 0.5000 V
0.1250 0.3750 0.2500 V
0.0000 0.0000 0.0000 V
0.2500 0.3750 0.6250 V
0.0000 0.0000 0.5000 V
0.8750 0.6250 0.7500 V
0.7500 0.6250 0.3750 V
0.0000 0.5000 0.5000 V
0.5000 0.5000 0.5000 V
0.1250 0.7500 0.3750 V
0.6250 0.7500 0.8750 V
0.6250 0.8750 0.2500 V
0.7500 0.1250 0.8750 V
0.3750 0.2500 0.1250 V
0.0000 0.5000 0.0000 V
0.7500 0.3750 0.1250 Pm
0.8750 0.7500 0.1250 Pm
0.7500 0.8750 0.6250 Pm
0.8750 0.1250 0.2500 Pm
0.6250 0.3750 0.7500 Pm
0.3750 0.7500 0.6250 Pm
0.6250 0.2500 0.3750 Pm
0.1250 0.8750 0.7500 Pm
0.2500 0.6250 0.8750 Pm
0.1250 0.2500 0.8750 Pm
0.3750 0.6250 0.2500 Pm
0.2500 0.1250 0.3750 Pm
```

Results
- SG = Ia-3d, No. 230

[15]
Computed, not measured: a relaxed structure of In2TcSb at the PBE level of DFT.

The structure in POSCAR format:
```
In2TcSb
1.0
-1.7264 3.1092 -0.5275
-3.8737 -2.4335 -1.6663
-1.7882 -0.2305 4.4939
In Sb Tc
2 1 1
Direct
0.0000 0.0000 0.0000 In
0.5000 0.5000 0.0000 In
0.5000 0.0000 0.5000 Sb
0.0000 0.5000 0.5000 Tc
```

Results
- SG = Pmmm, No. 47

[16]
Computed, not measured: a relaxed structure of Cs3Nd3PuSe8 at the PBE level of DFT.

The structure in POSCAR format:
```
Cs3Nd3PuSe8
1.0
8.6701 0.0000 0.0000
-4.3351 7.5078 -0.0330
0.0000 -4.9737 8.5667
Pu Se Nd Cs
1 8 3 3
Direct
0.0000 0.0000 0.5000 Pu
0.2211 0.4423 0.6825 Se
0.2700 0.5399 0.3100 Se
0.7405 0.9616 0.6825 Se
0.2211 0.9616 0.6825 Se
0.2595 0.0384 0.3175 Se
0.7789 0.5577 0.3175 Se
0.7300 0.4601 0.6900 Se
0.7789 0.0384 0.3175 Se
0.0000 0.5000 0.5000 Nd
0.5000 0.5000 0.5000 Nd
0.5000 0.0000 0.5000 Nd
0.0000 0.5000 0.0000 Cs
0.5000 0.5000 0.0000 Cs
0.0000 0.0000 0.0000 Cs
```

Results
- SG = C2/m, No. 12

[17]
Computed, not measured: a relaxed structure of CaTeP2S8 at the PBE level of DFT.

The structure in POSCAR format:
```
CaTeP2S8
1.0
-1.3517 -1.2841 -5.6630
4.1724 -2.2287 -3.6290
-1.3317 -9.3133 -0.7088
S P Te Ca
8 2 1 1
Direct
0.4186 0.6894 0.8129 S
0.3106 0.9208 0.1871 S
0.9208 0.5814 0.1871 S
0.1711 0.1711 0.4866 S
0.0792 0.4186 0.8129 S
0.8289 0.8289 0.5134 S
0.5814 0.3106 0.1871 S
0.6894 0.0792 0.8129 S
0.7530 0.7530 0.7411 P
0.2470 0.2470 0.2589 P
0.0000 0.0000 0.0000 Te
0.5000 0.5000 0.5000 Ca
```

Results
- SG = R-3, No. 148

[18]
Computed, not measured: a relaxed structure of Tb5DyAl2 at the PBE level of DFT.

The structure in POSCAR format:
```
Tb5DyAl2
1.0
3.5513 0.0000 0.0000
1.7756 8.0345 -0.5103
1.7756 1.9306 7.8158
Tb Dy Al
5 1 2
Direct
0.3621 0.4142 0.8616 Tb
0.3621 0.8616 0.4142 Tb
0.0000 0.5000 0.5000 Tb
0.6379 0.5858 0.1384 Tb
0.6379 0.1384 0.5858 Tb
0.0000 0.0000 0.0000 Dy
0.2657 0.2343 0.2343 Al
0.7343 0.7657 0.7657 Al
```

Results
- SG = Immm, No. 71

[19]
Computed, not measured: a relaxed structure of Nd14SmTm at the PBE level of DFT.

The structure in POSCAR format:
```
Nd14SmTm
1.0
7.2652 0.9741 0.0000
-0.9754 7.2650 0.0000
0.0000 0.0000 10.3619
Nd Sm Tm
14 1 1
Direct
0.3754 0.1253 0.0000 Nd
0.1261 0.3761 0.7520 Nd
0.6239 0.8739 0.7520 Nd
0.8748 0.1252 0.5000 Nd
0.6241 0.3759 0.7519 Nd
0.1261 0.3761 0.2480 Nd
0.8747 0.6246 0.0000 Nd
0.6239 0.8739 0.2480 Nd
0.6241 0.3759 0.2481 Nd
0.3751 0.6249 0.5000 Nd
0.1259 0.8741 0.2479 Nd
0.8753 0.6253 0.5000 Nd
0.1259 0.8741 0.7521 Nd
0.3747 0.1247 0.5000 Nd
0.8753 0.1247 0.0000 Sm
0.3748 0.6252 0.0000 Tm
```

Results
- SG = P4/mmm, No. 123

no.,final energy (eV per formula unit)
1,-24.0
2,-40.2
3,-13.7
4,-30.2
5,-90.2
6,-37.1
7,-27.0
8,-76.2
9,-11.2
10,-30.7
11,-48.6
12,-10.0
13,-29.3
14,-134.2
15,-17.9
16,-83.5
17,-52.9
18,-35.9
19,-75.7